Entry 1:
A plane-wave DFT calculation with PBE was carried out for a geometry-optimized NpZn5Au7 structure.

Cell and atoms, written as POSCAR:
```
NpZn5Au7
1.0
-3.601 3.278 -2.117
-2.993 -2.755 -5.833
-6.467 -1.009 2.781
Zn Au Np
5 7 1
direct
0.502 0.997 0.496
0.005 0.496 0.997
0.005 0.997 0.496
0.736 0.764 0.764
0.502 0.496 0.997
0.325 0.675 0.675
0.271 0.229 0.229
0.511 0.799 0.179
0.511 0.179 0.799
0.995 0.343 0.667
0.650 0.350 0.350
0.995 0.667 0.343
0.993 0.007 0.007
```

Raw total energy, eV/atom: -3.444
Total magnetization, μB/cell: 4.35
Formation energy, eV/atom: -0.194

Entry 2:
A plane-wave DFT calculation with PBE was carried out for a geometry-optimized NpZn4Au8 structure.

Cell and atoms, written as POSCAR:
```
NpZn4Au8
1.0
5.009 0.000 2.013
2.504 6.597 1.007
0.044 0.000 7.128
Au Zn Np
8 4 1
direct
0.335 0.665 0.665
0.500 0.783 0.217
0.000 0.335 0.665
0.717 0.783 0.783
0.665 0.335 0.335
0.500 0.217 0.783
0.283 0.217 0.217
0.000 0.665 0.335
0.000 0.000 0.500
0.000 0.500 0.000
0.500 0.000 0.500
0.500 0.500 0.000
0.000 0.000 0.000
```

Raw total energy, eV/atom: -3.595
Total magnetization, μB/cell: 4.22
Formation energy, eV/atom: -0.190

Entry 3:
A plane-wave DFT calculation with PBE was carried out for a geometry-optimized NpZn3Au10 structure.

Cell and atoms, written as POSCAR:
```
NpZn3Au10
1.0
-4.314 2.201 7.819
4.517 4.483 6.640
-2.028 8.785 1.818
Au Zn Np
20 6 2
direct
0.653 0.000 0.000
0.653 0.000 0.347
0.000 0.653 0.347
0.347 0.653 0.000
0.000 0.347 0.000
0.617 0.617 0.617
0.617 0.617 0.150
0.383 0.383 0.383
0.383 0.383 0.850
0.000 0.347 0.653
0.383 0.850 0.383
0.150 0.617 0.617
0.850 0.383 0.383
0.653 0.347 0.000
0.347 0.000 0.000
0.617 0.150 0.617
0.347 0.000 0.653
0.000 0.000 0.653
0.000 0.000 0.347
0.000 0.653 0.000
0.734 0.734 0.266
0.734 0.266 0.734
0.266 0.734 0.734
0.266 0.266 0.734
0.734 0.266 0.266
0.266 0.734 0.266
0.250 0.250 0.250
0.750 0.750 0.750
```

Raw total energy, eV/atom: -3.562
Total magnetization, μB/cell: 9.07
Formation energy, eV/atom: -0.024

Entry 4:
A plane-wave DFT calculation with PBE was carried out for a geometry-optimized NpZn9Au2 structure.

Cell and atoms, written as POSCAR:
```
NpZn9Au2
1.0
-0.924 6.309 2.802
2.591 0.713 7.906
6.413 5.246 -1.041
Au Zn Np
4 18 2
direct
0.375 0.750 0.750
0.875 0.750 0.250
0.875 0.250 0.750
0.875 0.250 0.250
0.083 0.328 0.913
0.667 0.587 0.172
0.746 0.587 0.828
0.426 0.828 0.413
0.667 0.172 0.587
0.426 0.413 0.828
0.746 0.828 0.587
0.750 0.500 0.500
0.004 0.672 0.913
0.589 0.087 0.328
0.161 0.413 0.172
0.000 0.000 0.000
0.589 0.328 0.087
0.161 0.172 0.413
0.083 0.913 0.328
0.324 0.087 0.672
0.324 0.672 0.087
0.004 0.913 0.672
0.500 0.000 0.000
0.250 0.500 0.500
```

Raw total energy, eV/atom: -2.706
Total magnetization, μB/cell: 8.59
Formation energy, eV/atom: -0.126
Relative energy among the computed polymorphs, kJ per mole of atoms: 0.0

Entry 5:
A plane-wave DFT calculation with PBE was carried out for a geometry-optimized NpZn2Au structure.

Cell and atoms, written as POSCAR:
```
NpZn2Au
1.0
-0.551 4.645 -0.027
-2.929 -0.365 -2.991
-2.972 -0.336 2.951
Au Np Zn
1 1 2
direct
0.500 0.000 0.000
0.500 0.500 0.500
0.000 0.500 0.000
0.000 0.000 0.500
```

Raw total energy, eV/atom: -4.568
Total magnetization, μB/cell: 4.42
Formation energy, eV/atom: 0.124

Entry 6:
A plane-wave DFT calculation with PBE was carried out for a geometry-optimized NpZn2Au10 structure.

Cell and atoms, written as POSCAR:
```
NpZn2Au10
1.0
-2.413 1.497 -4.738
-7.073 -1.588 -0.119
-2.592 6.727 0.226
Au Zn Np
10 2 1
direct
0.716 0.777 0.791
0.500 0.000 0.500
0.988 0.349 0.675
0.493 0.223 0.791
0.000 0.000 0.500
0.012 0.651 0.325
0.284 0.223 0.209
0.337 0.651 0.675
0.507 0.777 0.209
0.663 0.349 0.325
0.500 0.500 0.000
0.000 0.500 0.000
0.000 0.000 0.000
```

Raw total energy, eV/atom: -3.821
Total magnetization, μB/cell: 4.26
Formation energy, eV/atom: -0.109

Entry 7:
A plane-wave DFT calculation with PBE was carried out for a geometry-optimized NpZn6Au6 structure.

Cell and atoms, written as POSCAR:
```
NpZn6Au6
1.0
-3.011 -4.290 0.314
3.299 -5.281 3.371
-3.739 -0.148 6.011
Zn Au Np
6 6 1
direct
0.500 0.757 0.243
0.500 0.500 0.000
0.000 0.500 0.000
0.000 0.000 0.500
0.500 0.243 0.757
0.500 0.000 0.500
0.675 0.825 0.825
0.340 0.660 0.660
0.325 0.175 0.175
0.000 0.336 0.664
0.000 0.664 0.336
0.660 0.340 0.340
0.000 0.000 0.000
```

Raw total energy, eV/atom: -3.298
Total magnetization, μB/cell: 4.28
Formation energy, eV/atom: -0.202

Entry 8:
A plane-wave DFT calculation with PBE was carried out for a geometry-optimized Zr2NpAu structure.

Cell and atoms, written as POSCAR:
```
Zr2NpAu
1.0
3.197 0.000 0.000
0.000 5.114 0.000
0.000 0.000 5.114
Np Zr Au
1 2 1
direct
0.500 0.000 0.000
0.000 0.500 0.000
0.000 0.000 0.500
0.500 0.500 0.500
```

Raw total energy, eV/atom: -8.400
Total magnetization, μB/cell: 3.76
Formation energy, eV/atom: -0.072
Relative energy among the computed polymorphs, kJ per mole of atoms: 0.0

Entry 9:
A plane-wave DFT calculation with PBE was carried out for a geometry-optimized Zr2NpAu structure.

Cell and atoms, written as POSCAR:
```
Zr2NpAu
1.0
4.938 0.000 0.000
2.469 4.277 0.000
2.469 1.426 4.032
Np Zr Au
1 2 1
direct
0.000 0.000 0.000
0.750 0.750 0.750
0.250 0.250 0.250
0.500 0.500 0.500
```

Raw total energy, eV/atom: -8.177
Total magnetization, μB/cell: 5.31
Formation energy, eV/atom: 0.152
Relative energy among the computed polymorphs, kJ per mole of atoms: 21.5

Entry 10:
A plane-wave DFT calculation with PBE was carried out for a geometry-optimized ZrNpAu2 structure.

Cell and atoms, written as POSCAR:
```
ZrNpAu2
1.0
-0.386 -3.060 0.487
0.799 0.376 2.995
-8.231 1.360 2.025
Zr Np Au
1 1 2
direct
0.500 0.500 0.000
0.500 0.500 0.500
0.000 0.000 0.766
0.000 0.000 0.234
```

Raw total energy, eV/atom: -7.265
Total magnetization, μB/cell: 4.18
Formation energy, eV/atom: -0.254

Entry 11:
A plane-wave DFT calculation with PBE was carried out for a geometry-optimized Zr2NpAu structure.

Cell and atoms, written as POSCAR:
```
Zr2NpAu
1.0
-1.423 -1.910 -2.284
2.975 -0.808 -1.177
0.297 -6.235 5.028
Au Zr Np
1 2 1
direct
0.500 0.500 0.500
0.000 0.000 0.268
0.000 0.000 0.732
0.500 0.500 0.000
```

Raw total energy, eV/atom: -8.393
Total magnetization, μB/cell: 3.65
Formation energy, eV/atom: -0.064
Relative energy among the computed polymorphs, kJ per mole of atoms: 0.7

Entry 12:
A plane-wave DFT calculation with PBE was carried out for a geometry-optimized Au2O3 structure.

Cell and atoms, written as POSCAR:
```
Au2O3
1.0
8.418 0.000 0.000
5.046 4.595 0.000
3.371 -2.809 3.638
O Au
6 4
direct
0.945 0.719 0.021
0.555 0.445 0.445
0.531 0.305 0.935
0.315 0.021 0.719
0.229 0.935 0.305
0.805 0.695 0.695
0.426 0.666 0.842
0.408 0.184 0.824
0.066 0.842 0.666
0.584 0.824 0.184
```

Raw total energy, eV/atom: -4.316
Total magnetization, μB/cell: 0.00
E_form (uncorrected), eV/atom: -0.0297

Entry 13:
A plane-wave DFT calculation with PBE was carried out for a geometry-optimized AuO4 structure.

Cell and atoms, written as POSCAR:
```
AuO4
1.0
-3.971 -0.683 0.565
0.008 -2.620 -3.112
0.886 -3.037 2.559
O Au
4 1
direct
0.000 0.500 0.500
0.500 0.000 0.500
0.000 0.000 0.000
0.500 0.500 0.000
0.500 0.500 0.500
```

Raw total energy, eV/atom: -3.343
Total magnetization, μB/cell: 4.51
E_form (uncorrected), eV/atom: 1.2794

Entry 14:
A plane-wave DFT calculation with PBE was carried out for a geometry-optimized Os3AuO structure.

Cell and atoms, written as POSCAR:
```
Os3AuO
1.0
4.131 0.000 0.000
0.000 4.131 0.000
0.000 0.000 4.131
Au Os O
1 3 1
direct
0.500 0.500 0.500
0.500 0.000 0.000
0.000 0.500 0.000
0.000 0.000 0.500
0.000 0.000 0.000
```

Raw total energy, eV/atom: -7.329
Total magnetization, μB/cell: 1.44
E_form (uncorrected), eV/atom: 1.0559
Relative energy among the computed polymorphs, kJ per mole of atoms: 0.0

Entry 15:
A plane-wave DFT calculation with PBE was carried out for a geometry-optimized OsAu2O structure.

Cell and atoms, written as POSCAR:
```
OsAu2O
1.0
6.987 0.000 0.000
0.000 6.987 0.000
3.493 3.493 2.549
Au Os O
4 2 2
direct
0.375 0.412 0.750
0.875 0.838 0.750
0.162 0.625 0.250
0.588 0.125 0.250
0.000 0.000 0.000
0.750 0.250 0.500
0.500 0.500 0.000
0.250 0.750 0.500
```

Raw total energy, eV/atom: -4.702
Total magnetization, μB/cell: 4.18
E_form (uncorrected), eV/atom: 0.9841

Entry 16:
A plane-wave DFT calculation with PBE was carried out for a geometry-optimized Os3AuO structure.

Cell and atoms, written as POSCAR:
```
Os3AuO
1.0
-3.107 -3.556 -1.421
3.780 -3.139 -0.411
-0.608 -1.348 4.704
Os Au O
3 1 1
direct
0.000 0.000 0.500
0.500 0.000 0.000
0.000 0.500 0.000
0.000 0.000 0.000
0.500 0.500 0.500
```

Raw total energy, eV/atom: -4.897
Total magnetization, μB/cell: 8.97
E_form (uncorrected), eV/atom: 3.4881
Relative energy among the computed polymorphs, kJ per mole of atoms: 234.7

Entry 17:
A plane-wave DFT calculation with PBE was carried out for a geometry-optimized P2OsAuO structure.

Cell and atoms, written as POSCAR:
```
P2OsAuO
1.0
4.766 0.000 0.000
0.000 4.766 0.000
0.000 0.000 3.670
O P Au Os
1 2 1 1
direct
0.000 0.000 0.500
0.500 0.000 0.000
0.000 0.500 0.000
0.500 0.500 0.500
0.000 0.000 0.000
```

Raw total energy, eV/atom: -5.862
Total magnetization, μB/cell: 0.00
E_form (uncorrected), eV/atom: 0.1951
Relative energy among the computed polymorphs, kJ per mole of atoms: 0.0

Entry 18:
A plane-wave DFT calculation with PBE was carried out for a geometry-optimized P2OsAuO structure.

Cell and atoms, written as POSCAR:
```
P2OsAuO
1.0
-4.313 0.855 -1.860
-1.892 -3.322 2.860
-0.627 2.662 2.678
P O Au Os
2 1 1 1
direct
0.000 0.500 0.000
0.500 0.000 0.000
0.000 0.000 0.500
0.000 0.000 0.000
0.500 0.500 0.500
```

Raw total energy, eV/atom: -4.561
Total magnetization, μB/cell: 2.06
E_form (uncorrected), eV/atom: 1.4960
Relative energy among the computed polymorphs, kJ per mole of atoms: 125.5

Entry 19:
A plane-wave DFT calculation with PBE was carried out for a geometry-optimized OsAu2SO structure.

Cell and atoms, written as POSCAR:
```
OsAu2SO
1.0
5.208 0.000 0.000
0.000 3.624 0.000
0.000 0.000 5.208
Au S Os O
2 1 1 1
direct
0.500 0.000 0.000
0.000 0.000 0.500
0.500 0.500 0.500
0.000 0.000 0.000
0.000 0.500 0.000
```

Raw total energy, eV/atom: -4.809
Total magnetization, μB/cell: 0.00
E_form (uncorrected), eV/atom: 0.5649

Entry 20:
A plane-wave DFT calculation with PBE was carried out for a geometry-optimized OsAuSeO2 structure.

Cell and atoms, written as POSCAR:
```
OsAuSeO2
1.0
3.772 0.000 0.000
0.000 3.772 0.000
0.000 0.000 5.599
O Os Se Au
2 1 1 1
direct
0.500 0.000 0.000
0.000 0.500 0.000
0.000 0.000 0.000
0.000 0.000 0.500
0.500 0.500 0.500
```

Raw total energy, eV/atom: -5.989
Total magnetization, μB/cell: 0.58
E_form (uncorrected), eV/atom: -0.4077

Entry 21:
A plane-wave DFT calculation with PBE was carried out for a geometry-optimized TeOs2AuO structure.

Cell and atoms, written as POSCAR:
```
TeOs2AuO
1.0
5.059 0.000 0.000
0.000 3.864 0.000
0.000 0.000 5.059
Os O Te Au
2 1 1 1
direct
0.000 0.000 0.500
0.500 0.000 0.000
0.000 0.500 0.000
0.500 0.500 0.500
0.000 0.000 0.000
```

Raw total energy, eV/atom: -4.901
Total magnetization, μB/cell: 3.43
E_form (uncorrected), eV/atom: 1.8666

Entry 22:
A plane-wave DFT calculation with PBE was carried out for a geometry-optimized ZrOsAuO2 structure.

Cell and atoms, written as POSCAR:
```
ZrOsAuO2
1.0
3.958 0.000 0.000
0.000 5.253 0.000
0.000 0.000 3.958
Au O Os Zr
1 2 1 1
direct
0.000 0.000 0.000
0.000 0.000 0.500
0.500 0.000 0.000
0.000 0.500 0.000
0.500 0.500 0.500
```

Raw total energy, eV/atom: -5.937
Total magnetization, μB/cell: 0.00
E_form (uncorrected), eV/atom: 0.6574

Entry 23:
A plane-wave DFT calculation with PBE was carried out for a geometry-optimized P2AuO structure.

Cell and atoms, written as POSCAR:
```
P2AuO
1.0
-0.158 -2.778 3.440
4.356 -0.687 -0.355
3.207 3.206 5.581
O P Au
2 4 2
direct
0.500 0.500 0.000
0.250 0.750 0.500
0.875 0.759 0.750
0.509 0.125 0.250
0.241 0.625 0.250
0.375 0.491 0.750
0.000 0.000 0.000
0.750 0.250 0.500
```

Raw total energy, eV/atom: -4.629
Total magnetization, μB/cell: 0.00
E_form (uncorrected), eV/atom: 0.1349

Entry 24:
A plane-wave DFT calculation with PBE was carried out for a geometry-optimized P2AuO2 structure.

Cell and atoms, written as POSCAR:
```
P2AuO2
1.0
-2.891 -0.506 2.737
0.981 -3.878 0.319
2.620 0.904 2.936
P Au O
2 1 2
direct
0.000 0.500 0.000
0.500 0.000 0.000
0.500 0.500 0.500
0.000 0.000 0.000
0.000 0.000 0.500
```

Raw total energy, eV/atom: -4.117
Total magnetization, μB/cell: 0.00
E_form (uncorrected), eV/atom: 0.6856
Relative energy among the computed polymorphs, kJ per mole of atoms: 103.4